(1)
Sr2AgHg6: optimized geometry, PBE-GGA.

offset from the most stable computed form = 0.0 kJ/mol of atoms
size of the total moment = 0.00 μB per atom
DOS at the Fermi energy = 10.6 states/eV per cell
space-group type = C2/m, No. 12

abc: 7.5805 6.6654 10.0079
angles: 90.00 79.52 90.00
Last column: nearest neighbours and their distance in Å.
Positions (direct):
1 Sr 0.9315 0.5000 0.7177  9 Hg 3.49-3.62
2 Sr 0.5685 0.0000 0.7823  9 Hg 3.49-3.62
3 Sr 0.4315 0.0000 0.2177  9 Hg 3.49-3.62
4 Sr 0.0685 0.5000 0.2823  9 Hg 3.49-3.62
5 Ag 0.5000 0.5000 0.0000  6 Hg 2.84-2.85
6 Ag 0.0000 0.0000 0.5000  6 Hg 2.84-2.85
7 Hg 0.9607 0.0000 0.2228  1 Ag 2.84, 2 Hg 3.02
8 Hg 0.7039 0.7474 0.4756  1 Ag 2.85, 2 Hg 3.02-3.04
9 Hg 0.7961 0.7526 0.0244  1 Ag 2.85, 2 Hg 3.02-3.04
10 Hg 0.7039 0.2526 0.4756  1 Ag 2.85, 2 Hg 3.02-3.04
11 Hg 0.7961 0.2474 0.0244  1 Ag 2.85, 2 Hg 3.02-3.04
12 Hg 0.5393 0.5000 0.2772  1 Ag 2.84, 2 Hg 3.02
13 Hg 0.0393 0.0000 0.7772  1 Ag 2.84, 2 Hg 3.02
14 Hg 0.2961 0.2526 0.5244  1 Ag 2.85, 2 Hg 3.02-3.04
15 Hg 0.2039 0.2474 0.9756  1 Ag 2.85, 2 Hg 3.02-3.04
16 Hg 0.2961 0.7474 0.5244  1 Ag 2.85, 2 Hg 3.02-3.04
17 Hg 0.2039 0.7526 0.9756  1 Ag 2.85, 2 Hg 3.02-3.04
18 Hg 0.4607 0.5000 0.7228  1 Ag 2.84, 2 Hg 3.02

***

(2)
Sr2IrRhBr: optimized geometry, PBE-GGA.

formation energy without anion corrections = -345 meV per atom
size of the total moment = 0.00 μB per atom
DOS at the Fermi energy = 2.9 states/eV per cell
space-group type = P4/mmm, No. 123

abc: 5.8890 4.6594 5.8890
angles: 90.00 90.00 90.00
Last column: nearest neighbours and their distance in Å.
Positions (direct):
1 Sr 0.0000 0.0000 0.5000  2 Ir 2.94
2 Sr 0.5000 0.0000 0.0000  2 Ir 2.94
3 Ir 0.0000 0.0000 0.0000  2 Rh 2.33
4 Rh 0.0000 0.5000 0.0000  2 Ir 2.33
5 Br 0.5000 0.5000 0.5000  8 Sr 3.75, 4 Rh 4.16